Er2SiC | PBE-GGA | optimized geometry

Computed properties:
Size of the total moment, μB/f.u.: 0.00
Density, kg/m³: 7842

Structure (POSCAR):
```
Er2SiC
1.0
3.538 0.000 0.000
1.769 3.064 0.000
1.769 1.021 7.317
Er C Si
2 1 1
Direct
0.228 0.228 0.316
0.772 0.772 0.684
0.500 0.500 0.500
0.000 0.000 0.000
```

---

NpTeAuO6 | PBE-GGA | optimized geometry

Computed properties:
Size of the total moment, μB/f.u.: 0.07
Density, kg/m³: 7983

Structure (POSCAR):
```
NpTeAuO6
1.0
5.716 0.000 0.000
-2.858 4.950 0.000
0.000 0.000 9.668
Te O Np Au
2 12 2 2
Direct
0.667 0.333 0.750
0.333 0.667 0.250
0.639 0.627 0.138
0.627 0.639 0.638
0.373 0.012 0.138
0.627 0.988 0.862
0.639 0.012 0.362
0.988 0.361 0.138
0.012 0.639 0.862
0.988 0.627 0.362
0.012 0.373 0.638
0.361 0.373 0.862
0.373 0.361 0.362
0.361 0.988 0.638
0.333 0.667 0.750
0.667 0.333 0.250
0.000 0.000 0.000
0.000 0.000 0.500
```

---

What are the raw formation energy values for these records? In order: -381 -1344 meV/atom.
What are the energy values for these records? In order: -6.32 -6.80 eV/atom.
What are the DOS at the Fermi energy values for these records? In order: 1.0 3.2 states/eV/f.u..